Computed, not measured: a relaxed structure of BaYSc at the PBE-GGA level of DFT.

Cell lengths 3.6863, 3.6863, 9.0260 Å; angles 90.00, 90.00, 120.00 degrees
With the nearest neighbours (Å) after each atom.
Space group P3m1 (No. 156)
Unique sites:
Ba 0.0000 0.0000 0.0000  6 Ba 3.69, 3 Sc 3.76, 3 Y 3.98
Y 0.3333 0.6667 0.6267  3 Sc 3.32, 6 Y 3.69
Sc 0.6667 0.3333 0.3440  3 Y 3.32, 6 Sc 3.69

Calculated values
**Distance to the lowest polymorph of the same formula**: 0.0963 eV per atom
**Energy of formation from the pure elements**: 0.2673 eV per atom
**Fermi-level density of states**: 1.972 states/eV per atom